w) This record from Alexandria via LeMat-Bulk describes crystalline Pm5Ho4In at its relaxed geometry. The functional is GGA-PBE.

* DOS(E_F): 13.553 states/eV/cell
* spin magnetization: 0.000 μB/atom
* calculated density: 7.45 g/cm³
* space group: I4mm (107)
* volume: 33.4 A^3/atom

Lattice parameters (Å, degrees): 8.071 8.071 8.071 97.76 97.76 136.89
Fractional coordinates of all 10 atoms:
Pm  0.000  0.000  0.000
Pm  0.093  0.093  0.625
Pm  0.093  0.468  0.000
Pm  0.468  0.093  0.000
Pm  0.468  0.468  0.375
Ho  0.106  0.788  0.318
Ho  0.470  0.788  0.682
Ho  0.788  0.106  0.318
Ho  0.788  0.470  0.682
In  0.520  0.520  0.000


x) This record from Alexandria via LeMat-Bulk describes crystalline Pm5Ho4In at its relaxed geometry. The functional is GGA-PBE.

* DOS(E_F): 17.608 states/eV/cell
* spin magnetization: 0.000 μB/atom
* calculated density: 7.81 g/cm³
* space group: P4/mmm (123)
* volume: 31.9 A^3/atom

Lattice parameters (Å, degrees): 4.163 4.163 18.394 90.00 90.00 90.00
Fractional coordinates of all 10 atoms:
Pm  0.000  0.000  0.000
Pm  0.000  0.000  0.204
Pm  0.000  0.000  0.410
Pm  0.000  0.000  0.590
Pm  0.000  0.000  0.796
Ho  0.500  0.500  0.102
Ho  0.500  0.500  0.305
Ho  0.500  0.500  0.695
Ho  0.500  0.500  0.898
In  0.500  0.500  0.500


On energetic grounds, x) is preferred over the next structure by 147 meV/atom.